# 1
The following is a PBE calculation of a relaxed Pm4PdAu crystal, from the Alexandria database.

final energy = -0.1821 hartree per atom

Lattice parameters (Å, degrees): 7.142 7.142 7.161 90.00 90.13 90.00
Space group C2/m (No. 12)
One atom of each set of equivalent atoms:
Pm1 0.250 0.250 0.246 (multiplicity 8)
Pd1 0.000 0.000 0.000 (multiplicity 2)
Au1 0.000 0.500 0.500 (multiplicity 2)



# 2
The following is a PBE calculation of a relaxed Pm2Pd4Au5 crystal, from the Alexandria database.

final energy = -0.1740 hartree per atom

Lattice parameters (Å, degrees): 5.511 9.144 18.299 90.00 90.00 90.00
Space group Fmmm (No. 69)
One atom of each set of equivalent atoms:
Pm1 0.000 0.000 0.134 (multiplicity 8)
Pd1 0.000 0.162 0.372 (multiplicity 16)
Au1 0.000 0.000 0.500 (multiplicity 4)
Au2 0.250 0.250 0.000 (multiplicity 8)
Au3 0.250 0.250 0.250 (multiplicity 8)



no.,DFT formation energy (eV per atom),excess energy over the best structure of this formula in the dataset (meV/atom)
1,-0.375,126.4
2,-0.493,28.1